This record from Alexandria via LeMat-Bulk describes a relaxed structure of U2BeSi4Ir3. The functional is PBE-GGA.

Values from the calculation:
spin magnetization = 3.32 μB/f.u.
theoretical density = 11897 kg/m³
ΔE_f (raw) = -0.6293 eV per atom

a b c (Å): 4.0562 4.0562 9.9602
angles (deg): 90.00 90.00 90.00
Last column: nearest neighbours and their distance in Å.
Positions (direct):
Si 0.0000 0.0000 0.0000  4 Ir 2.41
Si 0.0000 0.5000 0.3694  3 Ir 2.37-2.41, 2 Be 2.41
Si 0.5000 0.0000 0.6306  3 Ir 2.37-2.41, 2 Be 2.41
Si 0.5000 0.5000 0.0000  4 Ir 2.41
U 0.5000 0.0000 0.2530  8 Si 3.09-3.23, 6 Ir 3.11-3.19, 2 Be 3.19
U 0.0000 0.5000 0.7470  8 Si 3.09-3.23, 6 Ir 3.11-3.19, 2 Be 3.19
Ir 0.5000 0.0000 0.8686  5 Si 2.37-2.41
Ir 0.0000 0.0000 0.5000  4 Si 2.41
Ir 0.0000 0.5000 0.1314  5 Si 2.37-2.41
Be 0.5000 0.5000 0.5000  4 Si 2.41

***

This record from Alexandria via LeMat-Bulk describes a relaxed structure of BeSiIr2W. The functional is PBE-GGA.

Values from the calculation:
spin magnetization = 0.00 μB/f.u.
theoretical density = 10179 kg/m³
ΔE_f (raw) = 1.6021 eV per atom

a b c (Å): 4.7543 4.3688 4.7543
angles (deg): 90.00 90.00 90.00
Last column: nearest neighbours and their distance in Å.
Positions (direct):
Be 0.0000 0.5000 0.0000  2 W 2.18
W 0.0000 0.0000 0.0000  2 Be 2.18, 4 Ir 2.38
Si 0.5000 0.5000 0.5000  8 Ir 3.23, 4 Be 3.36
Ir 0.0000 0.0000 0.5000  2 W 2.38
Ir 0.5000 0.0000 0.0000  2 W 2.38

***

This record from Alexandria via LeMat-Bulk describes a relaxed structure of YBe4SiIr2. The functional is PBE-GGA.

Values from the calculation:
spin magnetization = 0.00 μB/f.u.
theoretical density = 8432 kg/m³
ΔE_f (raw) = -0.3376 eV per atom

a b c (Å): 3.9238 3.9238 8.2554
angles (deg): 76.25 76.25 60.00
Last column: nearest neighbours and their distance in Å.
Positions (direct):
Ir 0.7721 0.7721 0.6838  7 Be 2.30-2.49
Ir 0.2279 0.2279 0.3162  7 Be 2.30-2.49
Be 0.8768 0.8768 0.3697  4 Ir 2.30-2.49, 3 Si 2.49, 3 Be 2.55
Be 0.5924 0.5924 0.2228  1 Si 2.20, 3 Ir 2.38
Be 0.1232 0.1232 0.6303  4 Ir 2.30-2.49, 3 Si 2.49, 3 Be 2.55
Be 0.4076 0.4076 0.7772  1 Si 2.20, 3 Ir 2.38
Si 0.5000 0.5000 0.5000  2 Be 2.20
Y 0.0000 0.0000 0.0000  8 Be 2.87-2.94

***

This record from Alexandria via LeMat-Bulk describes a relaxed structure of Y2BeSi2Ir5. The functional is PBE-GGA.

Values from the calculation:
spin magnetization = 0.00 μB/f.u.
theoretical density = 12552 kg/m³
ΔE_f (raw) = -0.7333 eV per atom

a b c (Å): 3.4086 9.6676 9.6676
angles (deg): 90.00 90.00 90.00
Last column: nearest neighbours and their distance in Å.
Positions (direct):
Ir 0.5000 0.0648 0.7963  2 Si 2.44, 2 Be 2.68
Ir 0.5000 0.7963 0.9352  2 Si 2.44, 2 Be 2.68
Ir 0.5000 0.9352 0.2037  2 Si 2.44, 2 Be 2.68
Ir 0.5000 0.0000 0.5000  4 Si 2.44
Ir 0.5000 0.7037 0.4352  2 Si 2.44, 2 Be 2.68
Ir 0.5000 0.5648 0.7037  2 Si 2.44, 2 Be 2.68
Ir 0.5000 0.4352 0.2963  2 Si 2.44, 2 Be 2.68
Ir 0.5000 0.2037 0.0648  2 Si 2.44, 2 Be 2.68
Ir 0.5000 0.5000 0.0000  4 Si 2.44
Ir 0.5000 0.2963 0.5648  2 Si 2.44, 2 Be 2.68
Y 0.0000 0.8261 0.6739  3 Si 2.72-2.95, 2 Ir 2.93
Y 0.0000 0.3261 0.8261  3 Si 2.72-2.95, 2 Ir 2.93
Y 0.0000 0.1739 0.3261  3 Si 2.72-2.95, 2 Ir 2.93
Y 0.0000 0.6739 0.1739  3 Si 2.72-2.95, 2 Ir 2.93
Si 0.0000 0.1275 0.6275  6 Ir 2.44, 1 Y 2.72
Si 0.0000 0.8725 0.3725  6 Ir 2.44, 1 Y 2.72
Si 0.0000 0.3725 0.1275  6 Ir 2.44, 1 Y 2.72
Si 0.0000 0.6275 0.8725  6 Ir 2.44, 1 Y 2.72
Be 0.0000 0.5000 0.5000  8 Ir 2.68
Be 0.0000 0.0000 0.0000  8 Ir 2.68

***

This record from Alexandria via LeMat-Bulk describes a relaxed structure of Y2BeSi3Ir4. The functional is PBE-GGA.

Values from the calculation:
spin magnetization = 0.00 μB/f.u.
theoretical density = 10483 kg/m³
ΔE_f (raw) = -0.9861 eV per atom

a b c (Å): 4.1063 4.1063 9.7692
angles (deg): 90.00 90.00 90.00
Last column: nearest neighbours and their distance in Å.
Positions (direct):
Ir 0.5000 0.5000 0.0000  4 Si 2.43
Ir 0.0000 0.0000 0.0000  4 Si 2.43
Ir 0.5000 0.0000 0.6238  3 Si 2.37-2.38, 2 Be 2.38
Ir 0.0000 0.5000 0.3762  3 Si 2.37-2.38, 2 Be 2.38
Y 0.0000 0.5000 0.7435  8 Ir 3.13-3.24, 2 Be 3.14, 6 Si 3.14
Y 0.5000 0.0000 0.2565  8 Ir 3.13-3.24, 2 Be 3.14, 6 Si 3.14
Si 0.5000 0.0000 0.8667  5 Ir 2.37-2.43
Si 0.0000 0.0000 0.5000  4 Ir 2.38
Si 0.0000 0.5000 0.1333  5 Ir 2.37-2.43
Be 0.5000 0.5000 0.5000  4 Ir 2.38

***

This record from Alexandria via LeMat-Bulk describes a relaxed structure of YBeSi2Ir. The functional is PBE-GGA.

Values from the calculation:
spin magnetization = 0.00 μB/f.u.
theoretical density = 7341 kg/m³
ΔE_f (raw) = -0.7657 eV per atom

a b c (Å): 3.8930 3.8930 5.8563
angles (deg): 109.41 109.41 90.00
Last column: nearest neighbours and their distance in Å.
Positions (direct):
Y 0.0000 0.0000 0.0000  8 Si 3.00, 4 Be 3.24, 4 Ir 3.24
Si 0.3836 0.3836 0.7672  2 Be 2.39, 2 Ir 2.39, 1 Si 2.41
Si 0.6164 0.6164 0.2328  2 Be 2.39, 2 Ir 2.39, 1 Si 2.41
Ir 0.2500 0.7500 0.5000  4 Si 2.39
Be 0.7500 0.2500 0.5000  4 Si 2.39

***

This record from Alexandria via LeMat-Bulk describes a relaxed structure of Zr2BeSiIr6. The functional is PBE-GGA.

Values from the calculation:
spin magnetization = 0.00 μB/f.u.
theoretical density = 14178 kg/m³
ΔE_f (raw) = -0.2755 eV per atom

a b c (Å): 6.1007 6.1034 6.1040
angles (deg): 60.01 60.02 90.01
Last column: nearest neighbours and their distance in Å.
Positions (direct):
Si 0.0000 0.0000 0.0000  6 Ir 2.23
Ir 0.2580 0.2583 0.0001  1 Be 2.09, 1 Si 2.23
Ir 0.7420 0.7417 0.9999  1 Be 2.09, 1 Si 2.23
Ir 0.2581 0.7418 0.0000  1 Be 2.09, 1 Si 2.23
Ir 0.2581 0.2581 0.4837  1 Be 2.09, 1 Si 2.23
Ir 0.7419 0.2582 0.0000  1 Be 2.09, 1 Si 2.23
Ir 0.7419 0.7419 0.5163  1 Be 2.09, 1 Si 2.23
Be 0.5000 0.5000 0.0000  6 Ir 2.09
Zr 0.7502 0.2502 0.4997  12 Ir 3.05-3.06
Zr 0.2498 0.7498 0.5003  12 Ir 3.05-3.06

***

This record from Alexandria via LeMat-Bulk describes a relaxed structure of SmBe3Ir. The functional is PBE-GGA.

Values from the calculation:
spin magnetization = 0.00 μB/f.u.
offset from the most stable computed form = 0.0000 eV/atom
theoretical density = 8320 kg/m³
formation energy from the elements = -0.3444 eV/atom

a b c (Å): 4.2324 5.3017 6.6194
angles (deg): 90.00 83.37 90.00
Last column: nearest neighbours and their distance in Å.
Positions (direct):
Be 0.1505 0.0470 0.1112  3 Be 2.11-2.15, 2 Ir 2.24-2.37
Be 0.1505 0.4530 0.1112  3 Be 2.11-2.15, 2 Ir 2.24-2.37
Be 0.8495 0.5470 0.8888  3 Be 2.11-2.15, 2 Ir 2.24-2.37
Be 0.0387 0.7500 0.6232  2 Be 2.14, 1 Ir 2.34
Be 0.9613 0.2500 0.3768  2 Be 2.14, 1 Ir 2.34
Be 0.8495 0.9530 0.8888  3 Be 2.11-2.15, 2 Ir 2.24-2.37
Ir 0.6489 0.2500 0.1078  7 Be 2.24-2.38
Ir 0.3511 0.7500 0.8922  7 Be 2.24-2.38
Sm 0.6171 0.7500 0.3284  8 Be 2.79-3.06, 2 Ir 3.02
Sm 0.3829 0.2500 0.6716  8 Be 2.79-3.06, 2 Ir 3.02

***

This record from Alexandria via LeMat-Bulk describes a relaxed structure of SmBe17Ir. The functional is PBE-GGA.

Values from the calculation:
spin magnetization = 0.00 μB/f.u.
theoretical density = 4574 kg/m³
formation energy from the elements = -0.0835 eV/atom

a b c (Å): 5.6804 5.6804 5.6804
angles (deg): 83.49 83.49 83.49
Last column: nearest neighbours and their distance in Å.
Positions (direct):
Be 0.3392 0.3392 0.8763  9 Be 2.16-2.27
Be 0.7049 0.2873 0.0111  8 Be 2.09-2.32
Be 0.8763 0.3392 0.3392  9 Be 2.16-2.27
Be 0.3392 0.8763 0.3392  9 Be 2.16-2.27
Be 0.1630 0.6480 0.6480  9 Be 2.19-2.44
Be 0.6480 0.1630 0.6480  9 Be 2.19-2.44
Be 0.0111 0.7049 0.2873  8 Be 2.09-2.32
Be 0.6480 0.6480 0.1630  9 Be 2.19-2.44
Be 0.9928 0.5089 0.9928  10 Be 2.13-2.36
Be 0.9074 0.9074 0.9074  4 Be 2.10-2.27
Be 0.9928 0.9928 0.5089  10 Be 2.13-2.36
Be 0.2873 0.7049 0.0111  8 Be 2.09-2.32
Be 0.5089 0.9928 0.9928  10 Be 2.13-2.36
Be 0.2873 0.0111 0.7049  8 Be 2.09-2.32
Be 0.0111 0.2873 0.7049  8 Be 2.09-2.32
Be 0.7049 0.0111 0.2873  8 Be 2.09-2.32
Be 0.1005 0.1005 0.1005  4 Be 2.10-2.22
Sm 0.6542 0.6542 0.6542  19 Be 2.75-2.88
Ir 0.3232 0.3232 0.3232  10 Be 2.43-2.65

***

This record from Alexandria via LeMat-Bulk describes a relaxed structure of Sm3BeIr2. The functional is PBE-GGA.

Values from the calculation:
spin magnetization = 0.00 μB/f.u.
theoretical density = 10406 kg/m³
formation energy from the elements = -0.6195 eV/atom

a b c (Å): 3.9924 11.8464 11.3981
angles (deg): 90.00 90.00 90.00
Last column: nearest neighbours and their distance in Å.
Positions (direct):
Sm 0.7500 0.1969 0.2993  4 Ir 2.87-3.08, 2 Be 2.91
Sm 0.7500 0.9430 0.1242  5 Ir 2.97-3.07, 3 Be 2.98-2.99
Sm 0.2500 0.1204 0.5625  5 Ir 3.02-3.13, 1 Be 3.04
Sm 0.7500 0.3031 0.7993  4 Ir 2.87-3.08, 2 Be 2.91
Sm 0.2500 0.4430 0.3758  5 Ir 2.97-3.07, 3 Be 2.98-2.99
Sm 0.7500 0.6204 0.9375  5 Ir 3.02-3.13, 1 Be 3.04
Sm 0.2500 0.0570 0.8758  5 Ir 2.97-3.07, 3 Be 2.98-2.99
Sm 0.2500 0.8031 0.7007  4 Ir 2.87-3.08, 2 Be 2.91
Sm 0.2500 0.3796 0.0625  5 Ir 3.02-3.13, 1 Be 3.04
Sm 0.7500 0.8796 0.4375  5 Ir 3.02-3.13, 1 Be 3.04
Sm 0.7500 0.5570 0.6242  5 Ir 2.97-3.07, 3 Be 2.98-2.99
Sm 0.2500 0.6969 0.2007  4 Ir 2.87-3.08, 2 Be 2.91
Ir 0.7500 0.1790 0.0370  2 Be 2.31
Ir 0.2500 0.6790 0.4630  2 Be 2.31
Ir 0.7500 0.3210 0.5370  2 Be 2.31
Ir 0.7500 0.5234 0.1932  1 Be 2.41
Ir 0.2500 0.4766 0.8068  1 Be 2.41
Ir 0.2500 0.8210 0.9630  2 Be 2.31
Ir 0.7500 0.9766 0.6932  1 Be 2.41
Ir 0.2500 0.0234 0.3068  1 Be 2.41
Be 0.2500 0.1302 0.1265  3 Ir 2.31-2.41
Be 0.7500 0.6302 0.3735  3 Ir 2.31-2.41
Be 0.7500 0.8698 0.8735  3 Ir 2.31-2.41
Be 0.2500 0.3698 0.6265  3 Ir 2.31-2.41

***

This record from Alexandria via LeMat-Bulk describes a relaxed structure of Sm3BeIr3. The functional is PBE-GGA.

Values from the calculation:
spin magnetization = 0.00 μB/f.u.
theoretical density = 11821 kg/m³
formation energy from the elements = -0.6379 eV/atom

a b c (Å): 4.1112 5.7435 13.3721
angles (deg): 85.89 81.16 69.03
Last column: nearest neighbours and their distance in Å.
Positions (direct):
Sm 0.3924 0.2928 0.9225  7 Ir 2.95-3.17
Sm 0.7481 0.7356 0.7681  6 Ir 2.93-3.09, 2 Be 3.16
Sm 0.6076 0.7072 0.0775  7 Ir 2.95-3.17
Sm 0.5252 0.3354 0.6142  5 Ir 2.94-3.03, 4 Be 3.00-3.23
Sm 0.2519 0.2644 0.2319  6 Ir 2.93-3.09, 2 Be 3.16
Sm 0.4748 0.6646 0.3858  5 Ir 2.94-3.03, 4 Be 3.00-3.23
Be 0.7667 0.0698 0.3969  4 Ir 2.30-2.41
Be 0.2333 0.9302 0.6031  4 Ir 2.30-2.41
Ir 0.8810 0.1574 0.0805  2 Ir 2.70-2.74, 5 Sm 2.93-3.01
Ir 0.1190 0.8426 0.9195  2 Ir 2.70-2.74, 5 Sm 2.93-3.01
Ir 0.1763 0.1899 0.4574  3 Be 2.30-2.36
Ir 0.8237 0.8101 0.5426  3 Be 2.30-2.36
Ir 0.9588 0.8404 0.2420  1 Be 2.41
Ir 0.0412 0.1596 0.7580  1 Be 2.41

***

This record from Alexandria via LeMat-Bulk describes a relaxed structure of SmBe3Ir. The functional is PBE-GGA.

Values from the calculation:
spin magnetization = 0.00 μB/f.u.
offset from the most stable computed form = 0.0196 eV/atom
theoretical density = 7748 kg/m³
formation energy from the elements = -0.3248 eV/atom

a b c (Å): 4.2947 4.2947 4.2947
angles (deg): 90.00 90.00 90.00
Last column: nearest neighbours and their distance in Å.
Positions (direct):
Be 0.0000 0.0000 0.5000  2 Ir 2.15
Be 0.5000 0.0000 0.0000  2 Ir 2.15
Be 0.0000 0.5000 0.0000  2 Ir 2.15
Sm 0.5000 0.5000 0.5000  12 Be 3.04
Ir 0.0000 0.0000 0.0000  6 Be 2.15

***

Q: Which value of spin magnetization does entry 11 give?
A: 0.00 μB/f.u.